(1)
# LiH2BrF (PBE-GGA, relaxed)
data_LiH2BrF
_cell_length_a 3.5614
_cell_length_b 4.2098
_cell_length_c 5.9256
_cell_angle_alpha 89.64
_cell_angle_beta 89.80
_cell_angle_gamma 67.77
_space_group_name_H-M_alt 'P 1'
_space_group_IT_number 1
_space_group_name_Hall 'P 1'
loop_
_atom_site_label
_atom_site_type_symbol
_atom_site_fract_x
_atom_site_fract_y
_atom_site_fract_z
Li1 Li 0.0000 0.0000 0.0000
H1 H 0.4099 0.9309 0.4834
H2 H 0.5994 0.7196 0.4843
Br1 Br 0.9947 0.3189 0.5105
F1 F 0.5306 0.9326 0.0073
# density of states at the Fermi level: 0.54 states/eV/f.u.

(2)
# LiH2BrF (PBE-GGA, relaxed)
data_LiH2BrF
_cell_length_a 3.7369
_cell_length_b 4.2882
_cell_length_c 5.6854
_cell_angle_alpha 71.53
_cell_angle_beta 79.29
_cell_angle_gamma 89.55
_space_group_name_H-M_alt 'P 1'
_space_group_IT_number 1
_space_group_name_Hall 'P 1'
loop_
_atom_site_label
_atom_site_type_symbol
_atom_site_fract_x
_atom_site_fract_y
_atom_site_fract_z
Li1 Li 0.0000 0.0000 0.0000
H1 H 0.5396 0.0840 0.8739
H2 H 0.8015 0.7841 0.5177
Br1 Br 0.5373 0.5771 0.8830
F1 F 0.9586 0.8928 0.3518
# density of states at the Fermi level: 1.04 states/eV/f.u.

What are the relative energies? In meV/atom: (1) 0; (2) 19.

(1)
# LiH2BrF (PBE-GGA, relaxed)
data_LiH2BrF
_cell_length_a 3.1446
_cell_length_b 3.4412
_cell_length_c 7.5285
_cell_angle_alpha 90.63
_cell_angle_beta 99.77
_cell_angle_gamma 117.18
_space_group_name_H-M_alt 'P 1'
_space_group_IT_number 1
_space_group_name_Hall 'P 1'
loop_
_atom_site_label
_atom_site_type_symbol
_atom_site_fract_x
_atom_site_fract_y
_atom_site_fract_z
Li1 Li 0.0000 0.0000 0.0000
H1 H 0.1258 0.2715 0.6292
H2 H 0.9834 0.2022 0.3702
Br1 Br 0.5581 0.2360 0.5001
F1 F 0.3216 0.6442 0.9992
# density of states at the Fermi level: 0.46 states/eV/f.u.

(2)
# LiH2BrF (PBE-GGA, relaxed)
data_LiH2BrF
_cell_length_a 2.8022
_cell_length_b 2.8089
_cell_length_c 9.7161
_cell_angle_alpha 95.30
_cell_angle_beta 94.95
_cell_angle_gamma 90.22
_space_group_name_H-M_alt 'P 1'
_space_group_IT_number 1
_space_group_name_Hall 'P 1'
loop_
_atom_site_label
_atom_site_type_symbol
_atom_site_fract_x
_atom_site_fract_y
_atom_site_fract_z
Li1 Li 0.0000 0.0000 0.0000
H1 H 0.7000 0.6711 0.7356
H2 H 0.8509 0.8197 0.6954
Br1 Br 0.1212 0.1138 0.3613
F1 F 0.4995 0.4998 0.0002
# density of states at the Fermi level: 0.54 states/eV/f.u.

(3)
# LiH2BrF (PBE-GGA, relaxed)
data_LiH2BrF
_cell_length_a 3.6986
_cell_length_b 3.9380
_cell_length_c 4.9257
_cell_angle_alpha 89.70
_cell_angle_beta 89.68
_cell_angle_gamma 68.84
_space_group_name_H-M_alt 'P 1'
_space_group_IT_number 1
_space_group_name_Hall 'P 1'
loop_
_atom_site_label
_atom_site_type_symbol
_atom_site_fract_x
_atom_site_fract_y
_atom_site_fract_z
Li1 Li 0.0000 0.0000 0.0000
H1 H 0.4973 0.0033 0.3911
H2 H 0.4975 0.0040 0.6041
Br1 Br 0.9975 0.5038 0.6304
F1 F 0.4977 0.0027 0.1560
# density of states at the Fermi level: 0.25 states/eV/f.u.

What are the relative energies? In meV/atom: (1) 392; (2) 0; (3) 206.

(1)
# Rb2HBrF6 (PBE-GGA, relaxed)
data_Rb2HBrF6
_cell_length_a 5.7761
_cell_length_b 6.2943
_cell_length_c 6.4082
_cell_angle_alpha 96.45
_cell_angle_beta 113.94
_cell_angle_gamma 113.70
_space_group_name_H-M_alt 'P -1'
_space_group_IT_number 2
_space_group_name_Hall '-P 1'
loop_
_atom_site_label
_atom_site_type_symbol
_atom_site_fract_x
_atom_site_fract_y
_atom_site_fract_z
Rb1 Rb 0.0136 0.2150 0.2923
H1 H 0.5000 0.0000 0.5000
Br1 Br 0.5000 0.5000 0.0000
F1 F 0.0904 0.2918 0.8811
F2 F 0.4045 0.0791 0.5937
F3 F 0.4111 0.6266 0.7322
# density of states at the Fermi level: 0.00 states/eV/f.u.

(2)
# Rb2HBrF6 (PBE-GGA, relaxed)
data_Rb2HBrF6
_cell_length_a 5.8280
_cell_length_b 5.8280
_cell_length_c 9.1619
_cell_angle_alpha 90.00
_cell_angle_beta 90.00
_cell_angle_gamma 90.00
_space_group_name_H-M_alt 'I 4/m m m'
_space_group_IT_number 139
_space_group_name_Hall '-I 4 2'
loop_
_atom_site_label
_atom_site_type_symbol
_atom_site_fract_x
_atom_site_fract_y
_atom_site_fract_z
Rb1 Rb 0.0000 0.5000 0.2500
H1 H 0.0000 0.0000 0.0000
Br1 Br 0.0000 0.0000 0.5000
F1 F 0.0000 0.0000 0.2910
F2 F 0.2031 0.2031 0.0000
# density of states at the Fermi level: 3.41 states/eV/f.u.

What are the relative energies? In meV/atom: (1) 0; (2) 443.

(1)
# SbHBrF (PBE-GGA, relaxed)
data_SbHBrF
_cell_length_a 4.3498
_cell_length_b 4.7965
_cell_length_c 5.8983
_cell_angle_alpha 107.85
_cell_angle_beta 90.33
_cell_angle_gamma 116.80
_space_group_name_H-M_alt 'P 1'
_space_group_IT_number 1
_space_group_name_Hall 'P 1'
loop_
_atom_site_label
_atom_site_type_symbol
_atom_site_fract_x
_atom_site_fract_y
_atom_site_fract_z
Sb1 Sb 0.0000 0.0000 0.0000
H1 H 0.2082 0.4166 0.1850
Br1 Br 0.0847 0.1765 0.6239
F1 F 0.5372 0.0752 0.0316
# density of states at the Fermi level: 0.00 states/eV/f.u.

(2)
# SbHBrF (PBE-GGA, relaxed)
data_SbHBrF
_cell_length_a 11.2991
_cell_length_b 4.9866
_cell_length_c 3.3176
_cell_angle_alpha 90.00
_cell_angle_beta 91.11
_cell_angle_gamma 90.00
_space_group_name_H-M_alt 'C 1 m 1'
_space_group_IT_number 8
_space_group_name_Hall 'C -2y'
loop_
_atom_site_label
_atom_site_type_symbol
_atom_site_fract_x
_atom_site_fract_y
_atom_site_fract_z
Sb1 Sb 0.0000 0.0000 0.0000
H1 H 0.2352 0.0000 0.6422
Br1 Br 0.1024 0.5000 0.0236
F1 F 0.3138 0.0000 0.5436
# density of states at the Fermi level: 0.89 states/eV/f.u.

(3)
# SbHBrF (PBE-GGA, relaxed)
data_SbHBrF
_cell_length_a 3.3351
_cell_length_b 4.3750
_cell_length_c 6.5164
_cell_angle_alpha 90.24
_cell_angle_beta 90.46
_cell_angle_gamma 90.01
_space_group_name_H-M_alt 'P 1'
_space_group_IT_number 1
_space_group_name_Hall 'P 1'
loop_
_atom_site_label
_atom_site_type_symbol
_atom_site_fract_x
_atom_site_fract_y
_atom_site_fract_z
Sb1 Sb 0.0000 0.0000 0.0000
H1 H 0.0000 0.9987 0.6971
Br1 Br 0.0066 0.0002 0.4338
F1 F 0.9991 0.5004 0.9775
# density of states at the Fermi level: 0.57 states/eV/f.u.

(4)
# SbHBrF (PBE-GGA, relaxed)
data_SbHBrF
_cell_length_a 11.9183
_cell_length_b 2.9606
_cell_length_c 5.5596
_cell_angle_alpha 90.00
_cell_angle_beta 95.97
_cell_angle_gamma 90.00
_space_group_name_H-M_alt 'C 1 m 1'
_space_group_IT_number 8
_space_group_name_Hall 'C -2y'
loop_
_atom_site_label
_atom_site_type_symbol
_atom_site_fract_x
_atom_site_fract_y
_atom_site_fract_z
Sb1 Sb 0.0000 0.0000 0.0000
H1 H 0.0953 0.0000 0.2580
Br1 Br 0.3340 0.5000 0.3854
F1 F 0.1228 0.0000 0.7896
# density of states at the Fermi level: 0.50 states/eV/f.u.

What are the relative energies? In meV/atom: (1) 0; (2) 194; (3) 235; (4) 262.

(1)
# SbHBrF (PBE-GGA, relaxed)
data_SbHBrF
_cell_length_a 3.2195
_cell_length_b 4.4071
_cell_length_c 8.0485
_cell_angle_alpha 90.66
_cell_angle_beta 91.53
_cell_angle_gamma 90.15
_space_group_name_H-M_alt 'P 1'
_space_group_IT_number 1
_space_group_name_Hall 'P 1'
loop_
_atom_site_label
_atom_site_type_symbol
_atom_site_fract_x
_atom_site_fract_y
_atom_site_fract_z
Sb1 Sb 0.0000 0.0000 0.0000
H1 H 0.3886 0.3424 0.4475
Br1 Br 0.0170 0.4926 0.5060
F1 F 0.9994 0.5009 0.0040
# density of states at the Fermi level: 0.66 states/eV/f.u.

(2)
# SbHBrF (PBE-GGA, relaxed)
data_SbHBrF
_cell_length_a 3.4209
_cell_length_b 3.4210
_cell_length_c 7.7559
_cell_angle_alpha 95.83
_cell_angle_beta 96.04
_cell_angle_gamma 93.23
_space_group_name_H-M_alt 'P 1'
_space_group_IT_number 1
_space_group_name_Hall 'P 1'
loop_
_atom_site_label
_atom_site_type_symbol
_atom_site_fract_x
_atom_site_fract_y
_atom_site_fract_z
Sb1 Sb 0.0000 0.0000 0.0000
H1 H 0.8507 0.8465 0.5376
Br1 Br 0.1367 0.1344 0.3313
F1 F 0.7672 0.7625 0.6436
# density of states at the Fermi level: 0.56 states/eV/f.u.

What are the relative energies? In meV/atom: (1) 220; (2) 0.

(1)
# HSe2BrF (PBE-GGA, relaxed)
data_HSe2BrF
_cell_length_a 4.1238
_cell_length_b 4.1238
_cell_length_c 4.6432
_cell_angle_alpha 90.00
_cell_angle_beta 90.00
_cell_angle_gamma 90.00
_space_group_name_H-M_alt 'P 4/m m m'
_space_group_IT_number 123
_space_group_name_Hall '-P 4 2'
loop_
_atom_site_label
_atom_site_type_symbol
_atom_site_fract_x
_atom_site_fract_y
_atom_site_fract_z
H1 H 0.0000 0.0000 0.0000
Se1 Se 0.0000 0.5000 0.0000
Br1 Br 0.0000 0.0000 0.5000
F1 F 0.5000 0.5000 0.5000
# density of states at the Fermi level: 4.42 states/eV/f.u.

(2)
# HSe2BrF (PBE-GGA, relaxed)
data_HSe2BrF
_cell_length_a 4.3758
_cell_length_b 4.3758
_cell_length_c 6.2681
_cell_angle_alpha 90.00
_cell_angle_beta 90.00
_cell_angle_gamma 90.00
_space_group_name_H-M_alt 'P 4/m m m'
_space_group_IT_number 123
_space_group_name_Hall '-P 4 2'
loop_
_atom_site_label
_atom_site_type_symbol
_atom_site_fract_x
_atom_site_fract_y
_atom_site_fract_z
H1 H 0.0000 0.0000 0.0000
Se1 Se 0.0000 0.5000 0.5000
Br1 Br 0.5000 0.5000 0.0000
F1 F 0.5000 0.5000 0.5000
# density of states at the Fermi level: 5.12 states/eV/f.u.

What are the relative energies? In meV/atom: (1) 0; (2) 358.